[1]
Computed, not measured: an optimized crystal structure of SrLaPt3 at the PBE level of DFT.

Geometry as CIF:
```
data_SrLaPt3
_cell_length_a 5.370
_cell_length_b 5.370
_cell_length_c 5.370
_cell_angle_alpha 90.00
_cell_angle_beta 90.00
_cell_angle_gamma 90.00
_symmetry_space_group_name_H-M 'P m -3 m'
_symmetry_Int_Tables_number 221
_symmetry_space_group_name_Hall '-P 4 2 3'
loop_
_atom_site_label
_atom_site_type_symbol
_atom_site_fract_x
_atom_site_fract_y
_atom_site_fract_z
_atom_site_occupancy
Sr1 Sr 0.000 0.000 0.000 1
La1 La 0.500 0.500 0.500 1
Pt1 Pt 0.000 0.500 0.500 1
```

Calculated values
Offset from the most stable computed form, meV/atom: 0
E_form, kJ/mol of atoms: -4.4

=====

[2]
Computed, not measured: an optimized crystal structure of Pm3BRh3Pb2 at the PBE level of DFT.

Geometry as CIF:
```
data_Pm3BRh3Pb2
_cell_length_a 7.7172
_cell_length_b 7.7172
_cell_length_c 3.7840
_cell_angle_alpha 90.00
_cell_angle_beta 90.00
_cell_angle_gamma 120.00
_symmetry_space_group_name_H-M 'P -6 2 m'
_symmetry_Int_Tables_number 189
_symmetry_space_group_name_Hall 'P -6 -2'
loop_
_atom_site_label
_atom_site_type_symbol
_atom_site_fract_x
_atom_site_fract_y
_atom_site_fract_z
_atom_site_occupancy
Pm1 Pm 0.0000 0.3472 0.0000 1
B1 B 0.0000 0.0000 0.0000 1
Rh1 Rh 0.0000 0.7959 0.5000 1
Pb1 Pb 0.3333 0.6667 0.5000 1
```

Calculated values
E_form, kJ/mol of atoms: -42.7

=====

[3]
Computed, not measured: an optimized crystal structure of KReSi2 at the PBE level of DFT.

Geometry as CIF:
```
data_KReSi2
_cell_length_a 5.875
_cell_length_b 5.875
_cell_length_c 14.111
_cell_angle_alpha 90.00
_cell_angle_beta 90.00
_cell_angle_gamma 90.00
_symmetry_space_group_name_H-M 'I 41/a m d'
_symmetry_Int_Tables_number 141
loop_
_symmetry_equiv_pos_as_xyz
'x,y,z'
'-x,-y,-z'
'-y+1/4,x+3/4,z+1/4'
'y+1/4,-x+3/4,-z+1/4'
'-x+1/2,-y,z+1/2'
'x+1/2,y,-z+1/2'
'y+1/4,-x+1/4,z+3/4'
'-y+1/4,x+1/4,-z+3/4'
'x,-y,-z'
'-x,y,z'
'-y+1/4,-x+1/4,-z+3/4'
'y+1/4,x+1/4,z+3/4'
'-x+1/2,y,-z+1/2'
'x+1/2,-y,z+1/2'
'y+1/4,x+3/4,-z+1/4'
'-y+1/4,-x+3/4,z+1/4'
'x+1/2,y+1/2,z+1/2'
'-x+1/2,-y+1/2,-z+1/2'
'-y+3/4,x+1/4,z+3/4'
'y+3/4,-x+1/4,-z+3/4'
'-x,-y+1/2,z'
'x,y+1/2,-z'
'y+3/4,-x+3/4,z+1/4'
'-y+3/4,x+3/4,-z+1/4'
'x+1/2,-y+1/2,-z+1/2'
'-x+1/2,y+1/2,z+1/2'
'-y+3/4,-x+3/4,-z+1/4'
'y+3/4,x+3/4,z+1/4'
'-x,y+1/2,-z'
'x,-y+1/2,z'
'y+3/4,x+1/4,-z+3/4'
'-y+3/4,-x+1/4,z+3/4'
loop_
_atom_site_label
_atom_site_type_symbol
_atom_site_fract_x
_atom_site_fract_y
_atom_site_fract_z
_atom_site_occupancy
K1 K 0.000 0.250 0.375 1
Re1 Re 0.000 0.250 0.875 1
Si1 Si 0.000 0.000 0.000 1
```

Calculated values
Offset from the most stable computed form, meV/atom: 216

=====

[4]
Computed, not measured: an optimized crystal structure of Sm2In3Cu at the PBE level of DFT.

Geometry as CIF:
```
data_Sm2In3Cu
_cell_length_a 4.7817
_cell_length_b 4.7817
_cell_length_c 7.6194
_cell_angle_alpha 90.00
_cell_angle_beta 90.00
_cell_angle_gamma 120.00
_symmetry_space_group_name_H-M 'P 3 m 1'
_symmetry_Int_Tables_number 156
loop_
_symmetry_equiv_pos_as_xyz
'x,y,z'
'-y,x-y,z'
'-x+y,-x,z'
'-y,-x,z'
'-x+y,y,z'
'x,x-y,z'
loop_
_atom_site_label
_atom_site_type_symbol
_atom_site_fract_x
_atom_site_fract_y
_atom_site_fract_z
_atom_site_occupancy
Sm1 Sm 0.0000 0.0000 0.0000 1
Sm2 Sm 0.0000 0.0000 0.4618 1
In1 In 0.3333 0.6667 0.6739 1
In2 In 0.6667 0.3333 0.2200 1
In3 In 0.6667 0.3333 0.7861 1
Cu1 Cu 0.3333 0.6667 0.2808 1
```

Calculated values
Offset from the most stable computed form, meV/atom: 0
E_form, kJ/mol of atoms: -41.2

=====

[5]
Computed, not measured: an optimized crystal structure of DyTh2Ge3 at the PBE level of DFT.

Geometry as CIF:
```
data_DyTh2Ge3
_cell_length_a 6.031
_cell_length_b 12.676
_cell_length_c 8.549
_cell_angle_alpha 90.00
_cell_angle_beta 90.00
_cell_angle_gamma 90.00
_symmetry_space_group_name_H-M 'P 1 21/c 1'
_symmetry_Int_Tables_number 14
loop_
_symmetry_equiv_pos_as_xyz
'x,y,z'
'-x,-y,-z'
'-x,y+1/2,-z+1/2'
'x,-y+1/2,z+1/2'
loop_
_atom_site_label
_atom_site_type_symbol
_atom_site_fract_x
_atom_site_fract_y
_atom_site_fract_z
_atom_site_occupancy
Dy1 Dy 0.250 0.085 0.124 1
Th1 Th 0.250 0.083 0.628 1
Th2 Th 0.251 0.748 0.126 1
Ge1 Ge 0.249 0.249 0.377 1
Ge2 Ge 0.250 0.581 0.872 1
Ge3 Ge 0.250 0.582 0.379 1
```

Calculated values
E_form, kJ/mol of atoms: -71.2

=====

[6]
Computed, not measured: an optimized crystal structure of CaZr2Cr at the PBE level of DFT.

Geometry as CIF:
```
data_CaZr2Cr
_cell_length_a 3.368
_cell_length_b 5.429
_cell_length_c 10.035
_cell_angle_alpha 90.00
_cell_angle_beta 90.00
_cell_angle_gamma 90.00
_symmetry_space_group_name_H-M 'I m m m'
_symmetry_Int_Tables_number 71
_symmetry_space_group_name_Hall '-I 2 2'
loop_
_atom_site_label
_atom_site_type_symbol
_atom_site_fract_x
_atom_site_fract_y
_atom_site_fract_z
_atom_site_occupancy
Ca1 Ca 0.000 0.000 0.000 1
Zr1 Zr 0.000 0.500 0.202 1
Cr1 Cr 0.000 0.000 0.500 1
```

Calculated values
Offset from the most stable computed form, meV/atom: 148
E_form, kJ/mol of atoms: 37.6

=====

[7]
Computed, not measured: an optimized crystal structure of OsBr2O at the PBE level of DFT.

Geometry as CIF:
```
data_OsBr2O
_cell_length_a 6.257
_cell_length_b 6.257
_cell_length_c 8.144
_cell_angle_alpha 90.00
_cell_angle_beta 90.00
_cell_angle_gamma 90.00
_symmetry_space_group_name_H-M 'I -4 2 d'
_symmetry_Int_Tables_number 122
_symmetry_space_group_name_Hall 'I -4 2bw'
loop_
_atom_site_label
_atom_site_type_symbol
_atom_site_fract_x
_atom_site_fract_y
_atom_site_fract_z
_atom_site_occupancy
Os1 Os 0.000 0.000 0.000 1
Br1 Br 0.241 0.250 0.125 1
O1 O 0.000 0.000 0.500 1
```

=====

[8]
Computed, not measured: an optimized crystal structure of TcAsBr2 at the PBE level of DFT.

Geometry as CIF:
```
data_TcAsBr2
_cell_length_a 8.751
_cell_length_b 3.284
_cell_length_c 7.816
_cell_angle_alpha 90.00
_cell_angle_beta 107.90
_cell_angle_gamma 90.00
_symmetry_space_group_name_H-M 'C 1 m 1'
_symmetry_Int_Tables_number 8
loop_
_symmetry_equiv_pos_as_xyz
'x,y,z'
'x,-y,z'
'x+1/2,y+1/2,z'
'x+1/2,-y+1/2,z'
loop_
_atom_site_label
_atom_site_type_symbol
_atom_site_fract_x
_atom_site_fract_y
_atom_site_fract_z
_atom_site_occupancy
Tc1 Tc 0.000 0.000 0.000 1
As1 As 0.288 0.000 0.000 1
Br1 Br 0.116 0.500 0.276 1
Br2 Br 0.464 0.000 0.723 1
```

Calculated values
Offset from the most stable computed form, meV/atom: 0

=====

[9]
Computed, not measured: an optimized crystal structure of BaCuAs2 at the PBE level of DFT.

Geometry as CIF:
```
data_BaCuAs2
_cell_length_a 3.675
_cell_length_b 3.675
_cell_length_c 6.974
_cell_angle_alpha 90.00
_cell_angle_beta 90.00
_cell_angle_gamma 90.00
_symmetry_space_group_name_H-M 'P 4 m m'
_symmetry_Int_Tables_number 99
loop_
_symmetry_equiv_pos_as_xyz
'x,y,z'
'-y,x,z'
'-x,-y,z'
'y,-x,z'
'-x,y,z'
'y,x,z'
'x,-y,z'
'-y,-x,z'
loop_
_atom_site_label
_atom_site_type_symbol
_atom_site_fract_x
_atom_site_fract_y
_atom_site_fract_z
_atom_site_occupancy
Ba1 Ba 0.000 0.000 0.000 1
Cu1 Cu 0.500 0.500 0.322 1
As1 As 0.000 0.000 0.494 1
As2 As 0.500 0.500 0.667 1
```

Calculated values
E_form, kJ/mol of atoms: -8.0

=====

[10]
Computed, not measured: an optimized crystal structure of Cd2Tc2P at the PBE level of DFT.

Geometry as CIF:
```
data_Cd2Tc2P
_cell_length_a 6.067
_cell_length_b 6.067
_cell_length_c 4.737
_cell_angle_alpha 90.00
_cell_angle_beta 90.00
_cell_angle_gamma 90.00
_symmetry_space_group_name_H-M 'P 4/m b m'
_symmetry_Int_Tables_number 127
_symmetry_space_group_name_Hall '-P 4 2ab'
loop_
_atom_site_label
_atom_site_type_symbol
_atom_site_fract_x
_atom_site_fract_y
_atom_site_fract_z
_atom_site_occupancy
Cd1 Cd 0.168 0.332 0.000 1
Tc1 Tc 0.146 0.646 0.500 1
P1 P 0.000 0.000 0.500 1
```

Calculated values
E_form, kJ/mol of atoms: -2.8

=====

[11]
Computed, not measured: an optimized crystal structure of UTe2 at the PBE level of DFT.

Geometry as CIF:
```
data_UTe2
_cell_length_a 4.446
_cell_length_b 4.446
_cell_length_c 8.827
_cell_angle_alpha 90.00
_cell_angle_beta 90.00
_cell_angle_gamma 90.00
_symmetry_space_group_name_H-M 'P 4/n m m'
_symmetry_Int_Tables_number 129
loop_
_symmetry_equiv_pos_as_xyz
'x,y,z'
'-x,-y,-z'
'-y+1/2,x,z'
'y+1/2,-x,-z'
'-x+1/2,-y+1/2,z'
'x+1/2,y+1/2,-z'
'y,-x+1/2,z'
'-y,x+1/2,-z'
'x+1/2,-y,-z'
'-x+1/2,y,z'
'-y,-x,-z'
'y,x,z'
'-x,y+1/2,-z'
'x,-y+1/2,z'
'y+1/2,x+1/2,-z'
'-y+1/2,-x+1/2,z'
loop_
_atom_site_label
_atom_site_type_symbol
_atom_site_fract_x
_atom_site_fract_y
_atom_site_fract_z
_atom_site_occupancy
U1 U 0.250 0.250 0.233 1
Te1 Te 0.250 0.250 0.866 1
Te2 Te 0.250 0.750 0.500 1
```

=====

[12]
Computed, not measured: an optimized crystal structure of AcMnInPd3 at the PBE level of DFT.

Geometry as CIF:
```
data_AcMnInPd3
_cell_length_a 5.886
_cell_length_b 12.487
_cell_length_c 7.262
_cell_angle_alpha 90.00
_cell_angle_beta 90.00
_cell_angle_gamma 90.00
_symmetry_space_group_name_H-M 'C m c m'
_symmetry_Int_Tables_number 63
_symmetry_space_group_name_Hall '-C 2c 2'
loop_
_atom_site_label
_atom_site_type_symbol
_atom_site_fract_x
_atom_site_fract_y
_atom_site_fract_z
_atom_site_occupancy
Ac1 Ac 0.000 0.175 0.250 1
Mn1 Mn 0.000 0.429 0.250 1
In1 In 0.000 0.134 0.750 1
Pd1 Pd 0.000 0.355 0.750 1
Pd2 Pd 0.241 0.000 0.000 1
```

Calculated values
E_form, kJ/mol of atoms: -34.6

=====

We obtain DFT total energy values of -25.0, -54.4, -92.9, -24.3, -150.9, -54.3, -61.7, -37.0, -15.7, -56.2, -38.6, -135.0 eV for the cell shown for the records listed above, in that order.